# HgH4N, relaxed, DFT PBE-GGA
# Mass density ... 3.83 g/cm³
# Raw total energy ... -89.253 eV for the cell shown
# M_tot ... 0.00 μB per atom
data_HgH4N
_cell_length_a 9.211
_cell_length_b 8.846
_cell_length_c 5.516
_cell_angle_alpha 90.00
_cell_angle_beta 122.55
_cell_angle_gamma 90.00
_symmetry_space_group_name_H-M 'C 1 2/m 1'
_symmetry_Int_Tables_number 12
_symmetry_space_group_name_Hall '-C 2y'
loop_
_atom_site_label
_atom_site_type_symbol
_atom_site_fract_x
_atom_site_fract_y
_atom_site_fract_z
Hg1 Hg 0.004 0.000 0.245
H1 H 0.000 0.156 0.500
H2 H 0.120 0.500 0.532
H3 H 0.122 0.406 0.270
N1 N 0.078 0.500 0.319